Density functional theory data (PBE) for crystalline MgZr2MoH at its relaxed geometry.

POSCAR file:
```
MgZr2MoH
1.0
-2.842 3.504 -1.335
-1.176 -2.424 -3.858
-2.815 -1.578 1.850
H Mo Mg Zr
1 1 1 2
direct
0.000 0.000 0.000
0.000 0.000 0.500
0.500 0.500 0.500
0.000 0.500 0.000
0.500 0.000 0.000
```

Total DFT energy (no corrections): -6.648 eV per atom
Density of states at the Fermi level: 3.99 states/eV/cell